First-principles (PBE) data for a relaxed structure of Ba2P6PbW, as listed in OQMD via LeMat-Bulk.

Lattice parameters (Å, degrees): 13.145 13.145 13.145 31.27 31.27 31.27
Positions (direct):
Ba (0.122, 0.122, 0.122)
Ba (0.285, 0.285, 0.285)
Ba (0.715, 0.715, 0.715)
Ba (0.878, 0.878, 0.878)
P (0.007, 0.692, 0.692)
P (0.219, 0.219, 0.724)
P (0.219, 0.724, 0.219)
P (0.276, 0.781, 0.781)
P (0.308, 0.308, 0.993)
P (0.308, 0.993, 0.308)
P (0.692, 0.007, 0.692)
P (0.692, 0.692, 0.007)
P (0.724, 0.219, 0.219)
P (0.781, 0.276, 0.781)
P (0.781, 0.781, 0.276)
P (0.993, 0.308, 0.308)
Pb (0.000, 0.000, 0.000)
Pb (0.500, 0.500, 0.500)
W (0.411, 0.411, 0.411)
W (0.589, 0.589, 0.589)

Values from the calculation:
Electronic total energy (eV for the cell shown): -109.66
Total magnetization (μB per formula unit): 0.01